## Cs3Ac3HfTe8 (GGA-PBE)

Data for a relaxed Cs3Ac3HfTe8 crystal.

The structure belongs to space group R-3m (No. 166, hexagonal axes); the cell edges are 9.4455, 9.4455 and 27.5588 Å and the angles 90.00°, 90.00° and 120.00°. The asymmetric unit holds Cs at (0.0000, 0.5000, 0.0000), Ac at (0.0000, 0.5000, 0.5000), Hf at (0.0000, 0.0000, 0.5000), Te at (0.0000, 0.0000, 0.2351) and Te at (0.0361, 0.5181, 0.2284).

The value obtained for the formation energy without anion corrections is -1.33 eV per atom. For the volume, the calculation gives 47.3 A^3/atom.

---

## TaIn2W (GGA-PBE)

Data for a relaxed TaIn2W crystal.

The structure belongs to space group F-43m (No. 216); the cell edges are 6.740, 6.740 and 6.740 Å and the angles 90.00°, 90.00° and 90.00°. The asymmetric unit holds Ta at (0.000, 0.000, 0.000), In at (0.000, 0.000, 0.500), In at (0.250, 0.250, 0.750) and W at (0.250, 0.250, 0.250).

The value obtained for the formation energy is 2.44 eV per formula unit. For the volume, the calculation gives 19.1 A^3/atom.

---

## TlPtSe (GGA-PBE)

Data for a relaxed TlPtSe crystal.

The structure belongs to space group F-43m (No. 216); the cell edges are 6.521, 6.521 and 6.521 Å and the angles 90.00°, 90.00° and 90.00°. The asymmetric unit holds Tl at (0.000, 0.000, 0.000), Pt at (0.250, 0.250, 0.250) and Se at (0.000, 0.000, 0.500).

The value obtained for the formation energy without anion corrections is -0.03 eV per atom. For the volume, the calculation gives 23.1 A^3/atom.

---

## CuAg2ICl2 (GGA-PBE)

Data for a relaxed CuAg2ICl2 crystal.

The structure belongs to space group Cmc2_1 (No. 36); the cell edges are 12.543, 7.455 and 7.099 Å and the angles 90.00°, 90.00° and 90.00°. The asymmetric unit holds Cu at (0.000, 0.183, 0.000), Ag at (0.166, 0.335, 0.457), I at (0.000, 0.144, 0.632) and Cl at (0.158, 0.329, 0.087).

The value obtained for the formation energy without anion corrections is -0.35 eV per atom. For the volume, the calculation gives 27.7 A^3/atom.

---

## Sc4AgPd (GGA-PBE)

Data for a relaxed Sc4AgPd crystal.

The structure belongs to space group P4/mmm (No. 123); the cell edges are 4.639, 4.639 and 6.602 Å and the angles 90.00°, 90.00° and 90.00°. The asymmetric unit holds Sc at (0.000, 0.500, 0.240), Ag at (0.000, 0.000, 0.500) and Pd at (0.500, 0.500, 0.000).

The value obtained for the formation energy is -1.00 eV per formula unit. For the volume, the calculation gives 23.7 A^3/atom.

---

## AcLaPd2 (GGA-PBE)

Data for a relaxed AcLaPd2 crystal.

The structure belongs to space group Pm (No. 6); the cell edges are 4.076, 4.677 and 6.054 Å and the angles 90.00°, 109.57° and 90.00°. The asymmetric unit holds Ac at (0.000, 0.000, 0.000), La at (0.270, 0.500, 0.537), Pd at (0.551, 0.500, 0.101) and Pd at (0.725, 0.000, 0.449).

The value obtained for the formation energy is -3.27 eV per formula unit. For the volume, the calculation gives 27.2 A^3/atom.

---

## Pm3Nd4Dy (GGA-PBE)

Data for a relaxed Pm3Nd4Dy crystal.

The structure belongs to space group Pmn2_1 (No. 31); the cell edges are 11.816, 7.380 and 6.379 Å and the angles 90.00°, 90.00° and 90.00°. The asymmetric unit holds Pm at (0.000, 0.125, 0.000), Pm at (0.250, 0.124, 0.332), Nd at (0.000, 0.374, 0.501), Nd at (0.000, 0.626, 0.997), Nd at (0.248, 0.627, 0.333) and Dy at (0.000, 0.877, 0.499).

The value obtained for the formation energy is 0.25 eV per formula unit. For the volume, the calculation gives 34.8 A^3/atom.

---

## La12Fe3H5 (GGA-PBE)

Data for a relaxed La12Fe3H5 crystal.

The structure belongs to space group Ia-3d (No. 230); the cell edges are 15.628, 15.628 and 15.628 Å and the angles 90.00°, 90.00° and 90.00°. The asymmetric unit holds La at (0.031, 0.069, 0.655), Fe at (0.000, 0.250, 0.125), H at (0.000, 0.000, 0.000) and H at (0.000, 0.250, 0.375).

For the energy, the calculation gives -5.15 eV/atom. For the volume, the calculation gives 23.9 A^3/atom.

---

## Th3Tl3In (GGA-PBE)

Data for a relaxed Th3Tl3In crystal.

The structure belongs to space group P6_3/m (No. 176); the cell edges are 9.1710, 9.1710 and 5.6589 Å and the angles 90.00°, 90.00° and 120.00°. The asymmetric unit holds Th at (0.1000, 0.4591, 0.2500), Tl at (0.0537, 0.2428, 0.7500) and In at (0.3333, 0.6667, 0.7500).

The value obtained for the formation energy is -0.34 eV per formula unit. For the volume, the calculation gives 29.4 A^3/atom.

---

## PrTm5Hg6 (GGA-PBE)

Data for a relaxed PrTm5Hg6 crystal.

The structure belongs to space group Immm (No. 71); the cell edges are 5.206, 7.487 and 15.690 Å and the angles 90.00°, 90.00° and 90.00°. The asymmetric unit holds Pr at (0.000, 0.000, 0.000), Tm at (0.000, 0.000, 0.331), Tm at (0.000, 0.500, 0.000), Tm at (0.000, 0.500, 0.337), Hg at (0.000, 0.232, 0.500) and Hg at (0.000, 0.261, 0.171).

The value obtained for the formation energy is -5.59 eV per formula unit. For the volume, the calculation gives 25.5 A^3/atom.